No. 1
## Li3Tl (meta-GGA SCAN)

Data for a PBEsol-optimized structure of Li3Tl.

Calculated values
Its energy of formation from the pure elements is -1.2 eV per formula unit. The calculation puts the volume at 73.5 Å³ per cell. As for the density of states at the Fermi level: 1.577 states/eV/cell.

a = 4.1887 Å, b = 4.1887 Å, c = 4.1887 Å
α = 90.00°, β = 90.00°, γ = 90.00°
Closest atoms and distances in Å follow each position.
Fractional positions:
Li  0.0000  0.0000  0.5000  4 Tl 2.96, 8 Li 2.96
Li  0.0000  0.5000  0.0000  4 Tl 2.96, 8 Li 2.96
Li  0.5000  0.0000  0.0000  4 Tl 2.96, 8 Li 2.96
Tl  0.5000  0.5000  0.5000  12 Li 2.96

No. 2
## Li3Tl (meta-GGA SCAN)

Data for a PBEsol-optimized structure of Li3Tl.

Calculated values
Its energy of formation from the pure elements is -1.0 eV per formula unit. The calculation puts the volume at 76.9 Å³ per cell. As for the density of states at the Fermi level: 1.273 states/eV/cell.

a = 3.2372 Å, b = 3.8769 Å, c = 6.1284 Å
α = 90.00°, β = 90.00°, γ = 90.00°
Closest atoms and distances in Å follow each position.
Fractional positions:
Li  0.0000  0.0000  0.0000  10 Li 2.99-3.24, 2 Tl 3.06
Li  0.5000  0.5000  0.2610  4 Tl 2.92, 8 Li 2.93-3.24
Li  0.5000  0.5000  0.7390  4 Tl 2.92, 8 Li 2.93-3.24
Tl  0.0000  0.0000  0.5000  10 Li 2.92-3.06, 2 Tl 3.24

No. 3
## LiTl3 (meta-GGA SCAN)

Data for a PBEsol-optimized structure of LiTl3.

Calculated values
Its energy of formation from the pure elements is -0.3 eV per formula unit. The calculation puts the volume at 101.8 Å³ per cell. As for the density of states at the Fermi level: 1.611 states/eV/cell.

a = 3.4249 Å, b = 4.9327 Å, c = 6.2625 Å
α = 90.00°, β = 105.86°, γ = 90.00°
Closest atoms and distances in Å follow each position.
Fractional positions:
Li  0.0000  0.0000  0.0000  6 Tl 3.03-3.13
Tl  0.1837  0.5000  0.7636  2 Li 3.03, 4 Tl 3.16-3.31
Tl  0.5000  0.0000  0.5000  2 Li 3.13, 10 Tl 3.31-3.49
Tl  0.8163  0.5000  0.2364  2 Li 3.03, 4 Tl 3.16-3.31